# PmGa2Ru (PBE-GGA, relaxed)
data_PmGa2Ru
_symmetry_space_group_name_H-M 'F m -3 m'
_symmetry_Int_Tables_number 225
_symmetry_space_group_name_Hall '-F 4 2 3'
_cell_length_a 6.6391
_cell_length_b 6.6391
_cell_length_c 6.6391
_cell_angle_alpha 90.00
_cell_angle_beta 90.00
_cell_angle_gamma 90.00
loop_
_atom_site_label
_atom_site_type_symbol
_atom_site_fract_x
_atom_site_fract_y
_atom_site_fract_z
Pm1 Pm 0.0000 0.0000 0.0000
Ga1 Ga 0.2500 0.2500 0.2500
Ru1 Ru 0.0000 0.0000 0.5000
# - Energy of formation: -346 meV per atom
# - Fermi-level density of states: 3.24 states/eV/f.u.
# - ΔE to the lowest computed polymorph: 0.60 eV per formula unit
# - E_tot: -5.366 eV/atom